{"formula": "TeMoNO2", "functional": "PBE+U", "state": "relaxed", "dft_energy_ev_per_cell": -29.13, "rho_g_cm3": 6.59, "space_group": "P4/mmm (123)", "lattice": [[3.956, 0.000, 0.000], [0.000, 3.956, 0.000], [0.000, 0.000, 4.338]], "species": ["Mo", "Te", "O", "O", "N"], "frac_coords": [[0.000, 0.000, 0.000], [0.500, 0.500, 0.500], [0.000, 0.500, 0.000], [0.500, 0.000, 0.000], [0.000, 0.000, 0.500]]}